(1)
Material: Pr4Co2I5
Method: DFT, PBE
State: relaxed

The structure in extended XYZ format:
```
11
Lattice="-4.1046 0.9301 -0.6076 -1.9957 -8.7290 0.1197 1.6754 4.3512 10.2211" Properties=species:S:1:pos:R:3 pbc="T T T"
Pr -3.5264 -3.7430 3.2129
Pr -0.5944 -2.6000 0.0357
Pr -0.8984 0.2952 6.5203
Pr -3.8304 -0.8478 9.6975
Co -3.1942 -3.8520 0.8021
Co -1.2306 0.4042 8.9311
I -0.9037 -1.8138 3.3280
I -3.5211 -1.6340 6.4052
I -2.0017 -6.6163 3.3939
I -2.0523 0.4650 -0.3038
I -2.4232 3.1685 6.3393
```

Values from the calculation:
Formation energy from raw total energies in eV/f.u.: -8.44


(2)
Material: In8Ga3Ag2
Method: DFT, PBE
State: relaxed

The structure in extended XYZ format:
```
13
Lattice="4.6416 0.0000 0.0000 0.0000 8.5914 -5.0294 0.0000 -0.8358 8.6480" Properties=species:S:1:pos:R:3 pbc="T T T"
In 0.0000 5.0972 -1.1487
In 4.6416 2.6584 4.7673
In 4.6416 0.9612 1.7360
In 0.0000 6.7945 1.8826
In 2.3208 4.6819 3.2189
In 2.3208 0.3981 5.7377
In 2.3208 7.3576 -2.1191
In 2.3208 3.0737 0.3997
Ga 2.3208 0.0000 0.0000
Ga 0.0000 2.0777 -1.2069
Ga 4.6416 5.6780 4.8255
Ag 2.3208 1.7961 3.2074
Ag 2.3208 5.9596 0.4112
```

Values from the calculation:
ΔH_f (0 K) in eV/atom: 0.038


(3)
Material: La2IrCl
Method: DFT, PBE
State: relaxed

The structure in extended XYZ format:
```
4
Lattice="-1.1298 -0.5179 -3.2677 -0.7103 -3.3323 0.7826 -7.5796 2.1510 2.2798" Properties=species:S:1:pos:R:3 pbc="T T T"
Cl -2.8150 -1.3874 -0.6726
Ir -6.6048 -0.3119 0.4672
La -7.3392 2.0827 2.2074
La -4.0303 1.1437 1.2122
```

Values from the calculation:
Distance to the lowest polymorph of the same formula in meV/atom: 210
Formation energy from raw total energies in eV/f.u.: -4.51


no.,magnetization (μB/f.u.)
1,0.0
2,0.0
3,0.0